Below is a relaxed ErIBr crystal, with properties calculated at the PBE-GGA level.

The final energy is -23.7 eV/cell. The calculation puts the total moment at 0.0 μB per formula unit. The uncorrected formation energy comes out at -1351 meV/atom.

It has space group P-1 (No. 2), with a = 3.976 Å, b = 6.871 Å, c = 8.966 Å, α = 110.87°, β = 102.40° and γ = 90.01°. Symmetry generates all atoms from Er at (0.249, 0.234, 0.498), I at (0.373, 0.034, 0.754) and Br at (0.152, 0.487, 0.298).